Entry 1:
VASP calculation (PBE-GGA) on a relaxed Hf4HgS8 crystal.

Lattice parameters (Å, degrees): 10.1735 10.1735 10.1735 41.97 41.97 41.97
Positions (direct):
Hf  0.0000  0.0000  0.0000
Hf  0.0000  0.5000  0.5000
Hf  0.5000  0.0000  0.5000
Hf  0.5000  0.5000  0.0000
Hg  0.5000  0.5000  0.5000
S  0.2188  0.2188  0.7186
S  0.2188  0.7186  0.2188
S  0.2813  0.2813  0.2813
S  0.2814  0.7812  0.7812
S  0.7186  0.2188  0.2188
S  0.7187  0.7187  0.7187
S  0.7812  0.2814  0.7812
S  0.7812  0.7812  0.2814

Results
Space-group type = R-3m, No. 166
Calculated volume = 426 Å³/cell
Total energy = -0.52002 Ry per atom


Entry 2:
VASP calculation (PBE-GGA) on a relaxed Rb3ZrSe3 crystal.

Lattice parameters (Å, degrees): 8.5136 8.5136 8.4193 97.53 97.53 113.54
Positions (direct):
Rb  0.1724  0.8276  0.0000
Rb  0.2659  0.7341  0.5000
Rb  0.3899  0.3899  0.1421
Rb  0.6101  0.6101  0.8579
Rb  0.7341  0.2659  0.5000
Rb  0.8276  0.1724  0.0000
Zr  0.1588  0.1588  0.6381
Zr  0.8412  0.8412  0.3619
Se  0.1097  0.1097  0.3148
Se  0.1460  0.4412  0.7738
Se  0.4412  0.1460  0.7738
Se  0.5588  0.8540  0.2262
Se  0.8540  0.5588  0.2262
Se  0.8903  0.8903  0.6852

Results
Space-group type = C2/m, No. 12
Calculated volume = 543 Å³/cell
E above lowest polymorph = 0.0 meV/atom
Total energy = -0.32007 Ry per atom


Number 1: mass density 4.565 g cm⁻³. Number 2: mass density 3.574 g cm⁻³.